# PuHfNiIr

A relaxed structure of PuHfNiIr (GGA-PBE, Alexandria via LeMat-Bulk).

abc: 6.6414 6.6414 6.6414
angles: 90.00 90.00 90.00
Closest atoms and distances in Å follow each position.
Space group F-43m (No. 216)
One atom of each set of equivalent atoms:
Pu 0.0000 0.0000 0.0000  4 Ir 2.88, 4 Ni 2.88
Hf 0.0000 0.0000 0.5000  4 Ni 2.88, 4 Ir 2.88
Ni 0.2500 0.2500 0.2500  4 Hf 2.88, 4 Pu 2.88
Ir 0.2500 0.2500 0.7500  4 Hf 2.88, 4 Pu 2.88

Properties
spin magnetization	21.4	Bohr magnetons per cell
DFT total energy	-10.124	eV/atom
volume	73	Å³/f.u.